[1]
VASP calculation (PBE-GGA) on crystalline TcBMo2 at its relaxed geometry.

Results
**E**: -79.046 eV/cell
**DFT formation energy**: -0.20 eV per atom

Structure (CIF):
```
data_TcBMo2
_symmetry_space_group_name_H-M 'P 1'
_symmetry_Int_Tables_number 1
_cell_length_a 3.019
_cell_length_b 4.909
_cell_length_c 7.375
_cell_angle_alpha 90.00
_cell_angle_beta 90.00
_cell_angle_gamma 107.90
loop_
_symmetry_equiv_pos_as_xyz
'x,y,z'
loop_
_atom_site_label
_atom_site_fract_x
_atom_site_fract_y
_atom_site_fract_z
Tc1 0.928 0.856 0.250
Tc2 0.072 0.144 0.750
Mo1 0.362 0.723 0.942
Mo2 0.638 0.277 0.058
Mo3 0.638 0.277 0.442
Mo4 0.362 0.723 0.558
B1 0.751 0.501 0.750
B2 0.249 0.499 0.250
```

[2]
VASP calculation (PBE-GGA) on crystalline V6Mo8Os at its relaxed geometry.

Results
**E**: -149.993 eV/cell
**DFT formation energy**: 0.17 eV per atom

Structure (CIF):
```
data_V6Mo8Os
_symmetry_space_group_name_H-M 'P 1'
_symmetry_Int_Tables_number 1
_cell_length_a 6.996
_cell_length_b 6.996
_cell_length_c 6.996
_cell_angle_alpha 58.51
_cell_angle_beta 58.51
_cell_angle_gamma 58.51
loop_
_symmetry_equiv_pos_as_xyz
'x,y,z'
loop_
_atom_site_label
_atom_site_fract_x
_atom_site_fract_y
_atom_site_fract_z
Mo1 0.131 0.864 0.377
Mo2 0.252 0.252 0.252
Mo3 0.748 0.748 0.748
Mo4 0.623 0.869 0.136
Mo5 0.864 0.377 0.131
Mo6 0.136 0.623 0.869
Mo7 0.869 0.136 0.623
Mo8 0.377 0.131 0.864
V1 0.375 0.882 0.625
V2 0.625 0.375 0.882
V3 0.118 0.375 0.625
V4 0.375 0.625 0.118
V5 0.882 0.625 0.375
V6 0.625 0.118 0.375
Os1 0.000 0.000 0.000
```

[3]
VASP calculation (PBE-GGA) on crystalline Sm6In5Hg at its relaxed geometry.

Results
**E**: -46.182 eV/cell
**Excess energy over the best structure of this formula in the dataset**: 166 meV per atom
**DFT formation energy**: -0.32 eV per atom

Structure (CIF):
```
data_Sm6In5Hg
_symmetry_space_group_name_H-M 'P 1'
_symmetry_Int_Tables_number 1
_cell_length_a 9.924
_cell_length_b 6.591
_cell_length_c 6.594
_cell_angle_alpha 60.01
_cell_angle_beta 83.56
_cell_angle_gamma 77.02
loop_
_symmetry_equiv_pos_as_xyz
'x,y,z'
loop_
_atom_site_label
_atom_site_fract_x
_atom_site_fract_y
_atom_site_fract_z
In1 0.500 0.818 0.364
In2 0.500 0.182 0.636
In3 0.000 0.349 0.301
In4 0.500 0.500 0.000
In5 0.000 0.651 0.699
Sm1 0.758 0.075 0.332
Sm2 0.242 0.925 0.668
Sm3 0.242 0.593 0.332
Sm4 0.758 0.407 0.668
Sm5 0.261 0.238 0.000
Sm6 0.739 0.762 0.000
Hg1 0.000 0.000 0.000
```

[4]
VASP calculation (PBE-GGA) on crystalline PmTm2CdRh4 at its relaxed geometry.

Results
**E**: -49.880 eV/cell
**DFT formation energy**: -0.73 eV per atom

Structure (CIF):
```
data_PmTm2CdRh4
_symmetry_space_group_name_H-M 'P 1'
_symmetry_Int_Tables_number 1
_cell_length_a 4.765
_cell_length_b 4.765
_cell_length_c 8.257
_cell_angle_alpha 73.23
_cell_angle_beta 73.23
_cell_angle_gamma 60.00
loop_
_symmetry_equiv_pos_as_xyz
'x,y,z'
loop_
_atom_site_label
_atom_site_fract_x
_atom_site_fract_y
_atom_site_fract_z
Tm1 0.758 0.758 0.727
Tm2 0.242 0.242 0.273
Rh1 0.877 0.877 0.370
Rh2 0.377 0.377 0.870
Rh3 0.623 0.623 0.130
Rh4 0.123 0.123 0.630
Pm1 0.000 0.000 0.000
Cd1 0.500 0.500 0.500
```

[5]
VASP calculation (PBE-GGA) on crystalline SrAl2SiSb at its relaxed geometry.

Results
**Raw formation energy**: 681 kJ/mol of formula units
**E**: -11.653 eV/cell

Structure (CIF):
```
data_SrAl2SiSb
_symmetry_space_group_name_H-M 'P 1'
_symmetry_Int_Tables_number 1
_cell_length_a 5.745
_cell_length_b 5.492
_cell_length_c 5.745
_cell_angle_alpha 90.00
_cell_angle_beta 90.00
_cell_angle_gamma 90.00
loop_
_symmetry_equiv_pos_as_xyz
'x,y,z'
loop_
_atom_site_label
_atom_site_fract_x
_atom_site_fract_y
_atom_site_fract_z
Sr1 0.000 0.000 0.000
Al1 0.500 0.000 0.000
Al2 0.000 0.000 0.500
Sb1 0.500 0.500 0.500
Si1 0.000 0.500 0.000
```

[6]
VASP calculation (PBE-GGA) on crystalline K2LaSc at its relaxed geometry.

Results
**E**: -10.095 eV/cell
**Excess energy over the best structure of this formula in the dataset**: 535 meV per atom
**DFT formation energy**: 0.84 eV per atom

Structure (CIF):
```
data_K2LaSc
_symmetry_space_group_name_H-M 'P 1'
_symmetry_Int_Tables_number 1
_cell_length_a 6.219
_cell_length_b 6.219
_cell_length_c 6.219
_cell_angle_alpha 60.00
_cell_angle_beta 60.00
_cell_angle_gamma 60.00
loop_
_symmetry_equiv_pos_as_xyz
'x,y,z'
loop_
_atom_site_label
_atom_site_fract_x
_atom_site_fract_y
_atom_site_fract_z
Sc1 0.500 0.500 0.500
K1 0.250 0.250 0.250
K2 0.750 0.750 0.750
La1 0.000 0.000 0.000
```

[7]
VASP calculation (PBE-GGA) on crystalline In2HI3 at its relaxed geometry.

Results
**E**: -29.460 eV/cell

Structure (CIF):
```
data_In2HI3
_symmetry_space_group_name_H-M 'P 1'
_symmetry_Int_Tables_number 1
_cell_length_a 10.501
_cell_length_b 9.180
_cell_length_c 9.181
_cell_angle_alpha 64.79
_cell_angle_beta 54.99
_cell_angle_gamma 54.99
loop_
_symmetry_equiv_pos_as_xyz
'x,y,z'
loop_
_atom_site_label
_atom_site_fract_x
_atom_site_fract_y
_atom_site_fract_z
In1 0.500 0.783 0.217
In2 0.000 0.347 0.653
In3 0.500 0.217 0.783
In4 0.000 0.653 0.347
I1 0.293 0.002 0.002
I2 0.707 0.998 0.998
I3 0.781 0.444 0.990
I4 0.781 0.990 0.444
I5 0.219 0.556 0.010
I6 0.219 0.010 0.556
H1 0.878 0.499 0.499
H2 0.122 0.501 0.501
```

[8]
VASP calculation (PBE-GGA) on crystalline HfCrCl2 at its relaxed geometry.

Results
**Raw formation energy**: 28 kJ/mol of formula units
**E**: -22.982 eV/cell
**Excess energy over the best structure of this formula in the dataset**: 231 meV per atom

Structure (CIF):
```
data_HfCrCl2
_symmetry_space_group_name_H-M 'P 1'
_symmetry_Int_Tables_number 1
_cell_length_a 4.559
_cell_length_b 4.559
_cell_length_c 4.559
_cell_angle_alpha 60.00
_cell_angle_beta 60.00
_cell_angle_gamma 60.00
loop_
_symmetry_equiv_pos_as_xyz
'x,y,z'
loop_
_atom_site_label
_atom_site_fract_x
_atom_site_fract_y
_atom_site_fract_z
Hf1 0.500 0.500 0.500
Cr1 0.000 0.000 0.000
Cl1 0.750 0.750 0.750
Cl2 0.250 0.250 0.250
```